# 1
BaPt2Rh: relaxed, PBE.

Unit cell a=6.013 b=8.601 c=3.084 alpha=90.00 beta=90.00 gamma=90.00
Fractional positions:
Ba: 0.000 0.000 0.000
Ba: 0.500 0.500 0.000
Pt: 0.250 0.250 0.500
Pt: 0.250 0.750 0.500
Pt: 0.750 0.250 0.500
Pt: 0.750 0.750 0.500
Rh: 0.000 0.500 0.000
Rh: 0.500 0.000 0.000

Properties
- Crystal system: orthorhombic
- Symmetry: Cmmm (65)
- N(E_F): 9.37 states/eV per cell
- Formation energy: 0.144 eV/atom

---

# 2
BaPtRh2: relaxed, PBE.

Unit cell a=3.026 b=3.026 c=29.291 alpha=90.00 beta=90.00 gamma=120.00
Fractional positions:
Ba: 0.000 0.000 0.000
Ba: 0.333 0.667 0.667
Ba: 0.667 0.333 0.333
Pt: 0.000 0.000 0.763
Pt: 0.333 0.667 0.429
Pt: 0.667 0.333 0.096
Rh: 0.000 0.000 0.237
Rh: 0.000 0.000 0.502
Rh: 0.333 0.667 0.169
Rh: 0.333 0.667 0.903
Rh: 0.667 0.333 0.570
Rh: 0.667 0.333 0.836

Properties
- Crystal system: trigonal
- Symmetry: R3m (160)
- N(E_F): 16.60 states/eV per cell
- ΔE to the lowest computed polymorph: 799 meV/atom
- Formation energy: 0.577 eV/atom

---

# 3
BaPtRh2: relaxed, PBE.

Unit cell a=5.971 b=9.886 c=2.995 alpha=90.00 beta=117.45 gamma=90.00
Fractional positions:
Ba: 0.000 0.000 0.000
Ba: 0.500 0.500 0.000
Pt: 0.000 0.500 0.000
Pt: 0.500 0.000 0.000
Rh: 0.250 0.250 0.500
Rh: 0.250 0.750 0.500
Rh: 0.750 0.250 0.500
Rh: 0.750 0.750 0.500

Properties
- Crystal system: monoclinic
- Symmetry: C2/m (12)
- N(E_F): 12.24 states/eV per cell
- ΔE to the lowest computed polymorph: 607 meV/atom
- Formation energy: 0.385 eV/atom

---

# 4
Ba12Pt5Rh: relaxed, PBE.

Unit cell a=8.012 b=8.012 c=15.070 alpha=95.16 beta=95.16 gamma=119.99
Fractional positions:
Ba: 0.038 0.365 0.112
Ba: 0.128 0.128 0.387
Ba: 0.205 0.538 0.614
Ba: 0.289 0.289 0.888
Ba: 0.365 0.038 0.112
Ba: 0.462 0.795 0.386
Ba: 0.538 0.205 0.614
Ba: 0.635 0.962 0.888
Ba: 0.711 0.711 0.112
Ba: 0.795 0.462 0.386
Ba: 0.872 0.872 0.613
Ba: 0.962 0.635 0.888
Pt: 0.167 0.833 0.500
Pt: 0.333 0.667 0.000
Pt: 0.500 0.500 0.500
Pt: 0.667 0.333 0.000
Pt: 0.833 0.167 0.500
Rh: 0.000 0.000 0.000

Properties
- Crystal system: monoclinic
- Symmetry: C2/m (12)
- N(E_F): 10.37 states/eV per cell
- Formation energy: -0.560 eV/atom

---

# 5
BaPtRh2: relaxed, PBE.

Unit cell a=4.500 b=4.500 c=16.609 alpha=90.00 beta=90.00 gamma=120.00
Fractional positions:
Ba: 0.000 0.000 0.000
Ba: 0.333 0.667 0.667
Ba: 0.667 0.333 0.333
Pt: 0.000 0.000 0.810
Pt: 0.333 0.667 0.477
Pt: 0.667 0.333 0.144
Rh: 0.000 0.000 0.185
Rh: 0.000 0.000 0.503
Rh: 0.333 0.667 0.170
Rh: 0.333 0.667 0.852
Rh: 0.667 0.333 0.519
Rh: 0.667 0.333 0.837

Properties
- Crystal system: trigonal
- Symmetry: R3m (160)
- N(E_F): 13.03 states/eV per cell
- ΔE to the lowest computed polymorph: 0 meV/atom
- Formation energy: -0.222 eV/atom

---

# 6
BaPt2Rh2: relaxed, PBE.

Unit cell a=4.577 b=4.577 c=10.094 alpha=90.00 beta=90.00 gamma=90.00
Fractional positions:
Ba: 0.000 0.000 0.000
Ba: 0.500 0.500 0.500
Pt: 0.000 0.500 0.250
Pt: 0.000 0.500 0.750
Pt: 0.500 0.000 0.250
Pt: 0.500 0.000 0.750
Rh: 0.000 0.000 0.379
Rh: 0.000 0.000 0.621
Rh: 0.500 0.500 0.121
Rh: 0.500 0.500 0.879

Properties
- Crystal system: tetragonal
- Symmetry: I4/mmm (139)
- N(E_F): 10.99 states/eV per cell
- ΔE to the lowest computed polymorph: 0 meV/atom
- Formation energy: -0.060 eV/atom